Material: TcBr
Method: DFT, GGA-PBE
State: relaxed

a b c (Å): 3.1357 3.6765 9.2534
angles (deg): 82.95 89.73 64.77
Space group P-1 (No. 2)
Inequivalent atoms, fractional coordinates:
Tc (0.1336, 0.2302, 0.0809) x2
Br (0.4034, 0.7015, 0.7038) x2

Summary:
Offset from the most stable computed form: 0 meV per atom
Magnetization: 0.000 μB per formula unit
Raw formation energy: 0.04 eV/atom

---

Material: LaBeCd3
Method: DFT, GGA-PBE
State: relaxed

a b c (Å): 6.2660 6.2660 6.2660
angles (deg): 90.00 90.00 90.00
Space group Pm-3m (No. 221)
Inequivalent atoms, fractional coordinates:
La (0.0000, 0.0000, 0.0000) x1
Be (0.5000, 0.5000, 0.5000) x1
Cd (0.0000, 0.0000, 0.5000) x3

Summary:
E_form: 1.275 eV per atom
Offset from the most stable computed form: 1303 meV per atom
Magnetization: 0.961 μB per formula unit

---

Material: HgHPbN2
Method: DFT, GGA-PBE
State: relaxed

a b c (Å): 4.4793 4.4793 6.6250
angles (deg): 90.00 90.00 90.00
Space group P4/mmm (No. 123)
Inequivalent atoms, fractional coordinates:
Hg (0.0000, 0.0000, 0.0000) x1
H (0.5000, 0.5000, 0.0000) x1
Pb (0.0000, 0.0000, 0.5000) x1
N (0.0000, 0.5000, 0.5000) x2

Summary:
Magnetization: 3.392 μB per formula unit
Calculated total energy: -2.839 eV/atom

---

Material: AlTcCl
Method: DFT, GGA-PBE
State: relaxed

a b c (Å): 4.3110 4.3110 2.8973
angles (deg): 90.00 90.00 120.00
Space group P-6m2 (No. 187)
Inequivalent atoms, fractional coordinates:
Al (0.0000, 0.0000, 0.0000) x1
Tc (0.3333, 0.6667, 0.5000) x1
Cl (0.6667, 0.3333, 0.5000) x1

Summary:
Offset from the most stable computed form: 363 meV per atom
Magnetization: 0.000 μB per formula unit
Raw formation energy: 0.34 eV/atom

---

Material: Na4VBr6
Method: DFT, GGA-PBE
State: relaxed

a b c (Å): 12.0929 12.0929 14.3756
angles (deg): 90.00 90.00 120.00
Space group R-3c (No. 167, hexagonal axes)
Inequivalent atoms, fractional coordinates:
Na (0.0000, 0.0000, 0.2500) x6
Na (0.0000, 0.3845, 0.2500) x18
V (0.0000, 0.0000, 0.0000) x6
Br (0.0419, 0.1960, 0.3946) x36

Summary:
Magnetization: 3.000 μB per formula unit
Raw formation energy: -1.30 eV/atom

---

Material: TePt2Rh
Method: DFT, GGA-PBE
State: relaxed

a b c (Å): 9.1997 3.4952 4.4298
angles (deg): 90.00 104.64 90.00
Space group C2/m (No. 12)
Inequivalent atoms, fractional coordinates:
Te (0.0000, 0.0000, 0.0000) x2
Pt (0.2489, 0.0000, 0.7428) x4
Rh (0.0000, 0.5000, 0.5000) x2

Summary:
Offset from the most stable computed form: 91 meV per atom
Magnetization: 0.000 μB per formula unit
Raw formation energy: 0.07 eV/atom